A plane-wave DFT calculation with PBE was carried out for CeY2TmN4 after structural relaxation.

Structure (POSCAR):
```
CeY2TmN4
1.0
6.019 0.000 0.000
0.000 3.485 0.000
-1.990 0.000 5.683
Ce Y Tm N
1 2 1 4
Cartesian
0.000 0.000 0.000 Ce
-0.995 1.743 2.841 Y
2.015 0.000 2.841 Y
3.010 1.743 0.000 Tm
0.014 0.000 4.295 N
1.022 1.743 1.406 N
4.016 0.000 1.387 N
3.007 1.743 4.277 N
```

Output
The raw total energy comes out at -8.747 eV per atom. The calculation puts the density of states at the Fermi level at 3.39 states/eV per cell. The uncorrected formation energy is -1.6676 eV per atom.